Entry 1:
The following is a PBE calculation of Pm3Y4Al after structural relaxation, from Alexandria.

The structure belongs to space group P4/mmm (No. 123); the cell edges are 3.585, 3.585 and 19.307 Å and the angles 90.00°, 90.00° and 90.00°. The inequivalent atoms are Pm at (0.000, 0.000, 0.000), Pm at (0.000, 0.000, 0.268), Y at (0.500, 0.500, 0.134), Y at (0.500, 0.500, 0.403) and Al at (0.000, 0.000, 0.500).

The value obtained for the magnetic moment is 0.00 μB/cell. The electronic total energy comes out at -44.59 eV/cell.


Entry 2:
The following is a PBE calculation of PbW2Au after structural relaxation, from Alexandria.

The structure belongs to space group C2/m (No. 12); the cell edges are 5.684, 9.611 and 2.892 Å and the angles 90.00°, 109.84° and 90.00°. The inequivalent atoms are Pb at (0.000, 0.000, 0.000), W at (0.250, 0.250, 0.500) and Au at (0.000, 0.500, 0.000).

The value obtained for the magnetic moment is 0.00 μB/cell. The electronic total energy comes out at -58.63 eV/cell.


Entry 3:
The following is a PBE calculation of CeEuTlIr after structural relaxation, from Alexandria.

The structure belongs to space group F-43m (No. 216); the cell edges are 7.392, 7.392 and 7.392 Å and the angles 90.00°, 90.00° and 90.00°. The inequivalent atoms are Ce at (0.000, 0.000, 0.000), Eu at (0.000, 0.000, 0.500), Tl at (0.250, 0.250, 0.750) and Ir at (0.250, 0.250, 0.250).

The value obtained for the magnetic moment is 30.36 μB/cell. The electronic total energy comes out at -114.11 eV/cell.


Entry 4:
The following is a PBE calculation of Sb2Se2O after structural relaxation, from Alexandria.

The structure belongs to space group Cmc2_1 (No. 36); the cell edges are 3.946, 15.610 and 7.872 Å and the angles 90.00°, 90.00° and 90.00°. The inequivalent atoms are Sb at (0.000, 0.064, 0.000), Sb at (0.000, 0.333, 0.833), Se at (0.000, 0.290, 0.483), Se at (0.000, 0.454, 0.113) and O at (0.000, 0.106, 0.250).

The value obtained for the magnetic moment is 0.00 μB/cell. For the raw formation energy, the calculation gives -0.527 eV per atom. The electronic total energy comes out at -91.23 eV/cell.


Entry 5:
The following is a PBE calculation of CaFeBr4 after structural relaxation, from Alexandria.

The structure belongs to space group I-4 (No. 82); the cell edges are 6.571, 6.571 and 11.064 Å and the angles 90.00°, 90.00° and 90.00°. The inequivalent atoms are Ca at (0.000, 0.000, 0.000), Fe at (0.000, 0.500, 0.250) and Br at (0.212, 0.728, 0.371).

The value obtained for the magnetic moment is 8.00 μB/cell. For the raw formation energy, the calculation gives -1.122 eV per atom. For the energy above the lowest structure with this stoichiometry, the calculation gives 0.0000 eV/atom. The electronic total energy comes out at -47.77 eV/cell.


Entry 6:
The following is a PBE calculation of La2Tb3Ag2 after structural relaxation, from Alexandria.

The structure belongs to space group R-3m (No. 166, hexagonal axes); the cell edges are 5.4904, 5.4904 and 23.7131 Å and the angles 90.00°, 90.00° and 120.00°. The inequivalent atoms are La at (0.0000, 0.0000, 0.0763), Tb at (0.0000, 0.0000, 0.3386), Tb at (0.0000, 0.0000, 0.5000) and Ag at (0.0000, 0.0000, 0.2128).

The value obtained for the magnetic moment is 0.00 μB/cell. The electronic total energy comes out at -90.37 eV/cell.


Entry 7:
The following is a PBE calculation of TiNiSN2 after structural relaxation, from Alexandria.

The structure belongs to space group P4/mmm (No. 123); the cell edges are 3.775, 3.775 and 5.183 Å and the angles 90.00°, 90.00° and 90.00°. The inequivalent atoms are Ti at (0.000, 0.000, 0.000), Ni at (0.500, 0.500, 0.500), S at (0.000, 0.000, 0.500) and N at (0.000, 0.500, 0.000).

The value obtained for the magnetic moment is 1.34 μB/cell. For the raw formation energy, the calculation gives 0.568 eV per atom. For the energy above the lowest structure with this stoichiometry, the calculation gives 0.0000 eV/atom. The electronic total energy comes out at -31.61 eV/cell.


Entry 8:
The following is a PBE calculation of GaSn4S6 after structural relaxation, from Alexandria.

The structure belongs to space group Cc (No. 9); the cell edges are 15.665, 7.093 and 13.029 Å and the angles 90.00°, 121.33° and 90.00°. The inequivalent atoms are Ga at (0.000, 0.223, 0.000), Sn at (0.055, 0.299, 0.583), Sn at (0.241, 0.418, 0.934), Sn at (0.278, 0.108, 0.237), Sn at (0.444, 0.349, 0.729), S at (0.001, 0.484, 0.897), S at (0.070, 0.024, 0.456), S at (0.096, 0.263, 0.204), S at (0.250, 0.262, 0.755), S at (0.335, 0.263, 0.448) and S at (0.415, 0.307, 0.123).

The value obtained for the magnetic moment is 0.00 μB/cell. For the raw formation energy, the calculation gives -0.398 eV per atom. The electronic total energy comes out at -192.74 eV/cell.


Entry 9:
The following is a PBE calculation of RbTaRe3 after structural relaxation, from Alexandria.

The structure belongs to space group Pm-3m (No. 221); the cell edges are 4.605, 4.605 and 4.605 Å and the angles 90.00°, 90.00° and 90.00°. The inequivalent atoms are Rb at (0.000, 0.000, 0.000), Ta at (0.500, 0.500, 0.500) and Re at (0.000, 0.000, 0.500).

The value obtained for the magnetic moment is 0.00 μB/cell. For the energy above the lowest structure with this stoichiometry, the calculation gives 1.4420 eV/atom. The electronic total energy comes out at -31.21 eV/cell.


Entry 10:
The following is a PBE calculation of CsLiSmTe3 after structural relaxation, from Alexandria.

The structure belongs to space group Cmcm (No. 63); the cell edges are 4.774, 18.249 and 10.747 Å and the angles 90.00°, 90.00° and 90.00°. The inequivalent atoms are Cs at (0.000, 0.247, 0.250), Li at (0.000, 0.483, 0.250), Sm at (0.000, 0.000, 0.000), Te at (0.000, 0.089, 0.750) and Te at (0.000, 0.397, 0.591).

The value obtained for the magnetic moment is 0.01 μB/cell. For the raw formation energy, the calculation gives -1.109 eV per atom. The electronic total energy comes out at -94.26 eV/cell.


Entry 11:
The following is a PBE calculation of AlZn4Cr after structural relaxation, from Alexandria.

The structure belongs to space group F-43m (No. 216); the cell edges are 7.138, 7.138 and 7.138 Å and the angles 90.00°, 90.00° and 90.00°. The inequivalent atoms are Al at (0.000, 0.000, 0.000), Zn at (0.124, 0.124, 0.624) and Cr at (0.250, 0.250, 0.250).

The value obtained for the magnetic moment is 15.17 μB/cell. The electronic total energy comes out at -70.98 eV/cell.


Entry 12:
The following is a PBE calculation of CePtN after structural relaxation, from Alexandria.

The structure belongs to space group I4/mmm (No. 139); the cell edges are 3.906, 3.906 and 14.546 Å and the angles 90.00°, 90.00° and 90.00°. The inequivalent atoms are Ce at (0.000, 0.000, 0.170), Pt at (0.000, 0.500, 0.000) and N at (0.000, 0.500, 0.250).

The value obtained for the magnetic moment is 0.00 μB/cell. For the raw formation energy, the calculation gives -1.088 eV per atom. For the energy above the lowest structure with this stoichiometry, the calculation gives 0.0000 eV/atom. The electronic total energy comes out at -94.25 eV/cell.


Entry 13:
The following is a PBE calculation of LaPr4Er15 after structural relaxation, from Alexandria.

The structure belongs to space group P4/mmm (No. 123); the cell edges are 5.050, 5.050 and 25.061 Å and the angles 90.00°, 90.00° and 90.00°. The inequivalent atoms are La at (0.000, 0.000, 0.000), Pr at (0.000, 0.000, 0.200), Pr at (0.000, 0.000, 0.400), Er at (0.000, 0.500, 0.101), Er at (0.000, 0.500, 0.300), Er at (0.000, 0.500, 0.500), Er at (0.500, 0.500, 0.000), Er at (0.500, 0.500, 0.201) and Er at (0.500, 0.500, 0.400).

The value obtained for the magnetic moment is 0.00 μB/cell. The electronic total energy comes out at -91.94 eV/cell.